[1]
This record from Alexandria describes an optimized crystal structure of HfPa2TcN6. The functional is PBE.

Cell lengths 5.3680, 5.3680, 4.9808 Å; angles 90.00, 90.00, 90.00 degrees
Last column: nearest neighbours and their distance in Å.
Space group P4mm (No. 99)
Unique sites:
Hf 0.0000 0.0000 0.0000  5 N 2.02-2.12
Pa 0.0000 0.5000 0.4104  4 N 2.25
Tc 0.5000 0.5000 0.9945  1 N 1.77
N 0.0000 0.0000 0.5939  1 Hf 2.02
N 0.2559 0.2559 0.1690  1 Tc 2.05, 1 Hf 2.12, 2 Pa 2.25
N 0.5000 0.5000 0.6382  1 Tc 1.77

Properties
DOS(E_F) = 0.5115 states/eV/atom
ΔE_f (raw) = -96.79 kJ/mol of atoms

[2]
This record from Alexandria describes an optimized crystal structure of LuNpIrPt. The functional is PBE.

Cell lengths 6.8539, 6.8539, 6.8539 Å; angles 90.00, 90.00, 90.00 degrees
Last column: nearest neighbours and their distance in Å.
Space group F-43m (No. 216)
Unique sites:
Lu 0.0000 0.0000 0.0000  4 Ir 2.97, 4 Pt 2.97
Np 0.0000 0.0000 0.5000  4 Pt 2.97, 4 Ir 2.97
Ir 0.2500 0.2500 0.7500  4 Np 2.97, 4 Lu 2.97
Pt 0.2500 0.2500 0.2500  4 Lu 2.97, 4 Np 2.97

Properties
DOS(E_F) = 2.1062 states/eV/atom
Raw total energy = -140.31 eV per cell

[3]
This record from Alexandria describes an optimized crystal structure of Na2Ag5S4. The functional is PBE.

Cell lengths 5.7033, 13.2115, 13.3283 Å; angles 90.00, 90.00, 90.00 degrees
Last column: nearest neighbours and their distance in Å.
Space group Fmmm (No. 69)
Unique sites:
Na 0.0000 0.0000 0.1828  2 S 3.02, 2 Na 3.37
Ag 0.0000 0.0000 0.5000  4 S 2.51
Ag 0.2500 0.2500 0.0000  4 S 2.75, 2 Ag 2.85
Ag 0.2500 0.2500 0.2500  4 S 2.61, 2 Ag 2.85
S 0.0000 0.1339 0.3666  5 Ag 2.51-2.75

Properties
DOS(E_F) = 0.4472 states/eV/atom
ΔE_f (raw) = -18.73 kJ/mol of atoms